[1]
Below is Pa2Cu6Ge3 after structural relaxation, with properties calculated at the PBE level. Values from VASP.

The structure in Quantum ESPRESSO input format:
```
&SYSTEM
  ibrav = 0, nat = 11, ntyp = 3
/
ATOMIC_SPECIES
Pa 231.04 Pa.upf
Cu 63.55 Cu.upf
Ge 72.64 Ge.upf
CELL_PARAMETERS angstrom
-1.095 3.247 -2.061
1.885 -3.289 -6.184
-6.759 -0.664 2.546
ATOMIC_POSITIONS angstrom
Pa -0.996 -2.414 -3.274
Pa -3.878 -1.539 -0.364
Cu -4.133 -1.284 -3.706
Cu -2.334 1.448 -0.357
Cu -0.956 -0.775 -0.714
Cu 1.515 -2.643 -4.971
Cu -0.049 0.754 -2.665
Cu -5.433 -0.534 2.047
Ge -2.473 0.062 -2.467
Ge 0.593 -0.366 -4.771
Ge -4.636 1.222 0.510
```

The value obtained for the formation enthalpy at 0 K is -2.376 eV/f.u. The total energy comes out at -59.80 eV per formula unit. Its calculated density is 9.7 g/cm3. The calculation puts the volume at 16.56 Å³/atom.

[2]
Below is La6CS5 after structural relaxation, with properties calculated at the PBE level. Values from VASP.

The structure in Quantum ESPRESSO input format:
```
&SYSTEM
  ibrav = 0, nat = 12, ntyp = 3
/
ATOMIC_SPECIES
C 12.01 C.upf
S 32.06 S.upf
La 138.91 La.upf
CELL_PARAMETERS angstrom
-1.169 -6.094 3.557
-0.051 1.323 7.022
-6.118 1.692 3.273
ATOMIC_POSITIONS angstrom
C 0.000 0.000 0.000
S -4.617 -1.708 5.133
S -2.052 1.004 3.432
S -0.610 -2.386 5.289
S -4.117 2.010 6.863
S -2.722 -1.372 8.719
La -2.806 -4.036 4.291
La -2.211 -0.093 6.139
La -0.287 -1.125 2.471
La -0.933 -3.647 8.108
La -5.128 -2.987 7.712
La -4.533 0.957 9.561
```

The total energy comes out at -81.44 eV per formula unit. Its calculated density is 5.6 g/cm3. The calculation puts the volume at 24.84 Å³/atom. The calculation puts the uncorrected formation energy at -1.834 eV per atom.

[3]
Below is CaSiH after structural relaxation, with properties calculated at the PBE level. Values from VASP.

The structure in Quantum ESPRESSO input format:
```
&SYSTEM
  ibrav = 0, nat = 3, ntyp = 3
/
ATOMIC_SPECIES
H 1.01 H.upf
Ca 40.08 Ca.upf
Si 28.09 Si.upf
CELL_PARAMETERS angstrom
-2.967 1.585 0.223
-0.793 -1.961 3.391
1.585 2.696 1.931
ATOMIC_POSITIONS angstrom
H -1.546 0.639 0.377
Ca 0.055 -0.477 4.120
Si -1.862 -0.143 1.729
```

The total energy comes out at -11.15 eV per formula unit. Its calculated density is 2.3 g/cm3. The calculation puts the volume at 16.51 Å³/atom.

[4]
Below is LiAc2Si4Ir3 after structural relaxation, with properties calculated at the PBE level. Values from VASP.

The structure in Quantum ESPRESSO input format:
```
&SYSTEM
  ibrav = 0, nat = 10, ntyp = 4
/
ATOMIC_SPECIES
Li 6.94 Li.upf
Ac 227.00 Ac.upf
Si 28.09 Si.upf
Ir 192.22 Ir.upf
CELL_PARAMETERS angstrom
4.368 0.000 0.000
0.000 4.368 0.000
0.000 0.000 9.884
ATOMIC_POSITIONS angstrom
Li 2.184 2.184 4.942
Ac 2.184 0.000 2.460
Ac 0.000 2.184 7.424
Si 2.184 2.184 0.000
Si 0.000 0.000 0.000
Si 2.184 0.000 6.204
Si 0.000 2.184 3.680
Ir 0.000 0.000 4.942
Ir 2.184 0.000 8.674
Ir 0.000 2.184 1.210
```

The total energy comes out at -66.45 eV per formula unit. Its calculated density is 10.1 g/cm3. The calculation puts the volume at 18.86 Å³/atom. The calculation puts the uncorrected formation energy at -0.805 eV per atom.

[5]
Below is LiPmNd2S5 after structural relaxation, with properties calculated at the PBE level. Values from VASP.

The structure in Quantum ESPRESSO input format:
```
&SYSTEM
  ibrav = 0, nat = 18, ntyp = 4
/
ATOMIC_SPECIES
Li 6.94 Li.upf
Pm 145.00 Pm.upf
Nd 144.24 Nd.upf
S 32.06 S.upf
CELL_PARAMETERS angstrom
4.020 0.000 0.000
-2.010 8.329 0.000
0.000 0.000 12.016
ATOMIC_POSITIONS angstrom
Li 2.010 0.207 11.820
Li 0.000 8.122 5.813
Pm 2.010 5.053 6.008
Pm 0.000 3.276 0.001
Nd 2.010 6.300 9.576
Nd 0.000 1.816 8.223
Nd 0.000 2.028 3.568
Nd 2.010 6.513 2.215
S 0.000 6.067 12.006
S 2.010 3.200 10.072
S 2.010 0.030 9.439
S 0.000 4.822 7.968
S 2.010 7.596 6.883
S 2.010 2.262 5.998
S 0.000 5.129 4.064
S 0.000 8.299 3.431
S 2.010 3.507 1.960
S 0.000 0.733 0.875
```

The total energy comes out at -53.87 eV per formula unit. Its calculated density is 5.0 g/cm3. The calculation puts the volume at 22.35 Å³/atom. The calculation puts the uncorrected formation energy at -1.892 eV per atom.

[6]
Below is WC2 after structural relaxation, with properties calculated at the PBE level. Values from VASP.

The structure in Quantum ESPRESSO input format:
```
&SYSTEM
  ibrav = 0, nat = 9, ntyp = 2
/
ATOMIC_SPECIES
W 183.84 W.upf
C 12.01 C.upf
CELL_PARAMETERS angstrom
-0.344 0.799 -2.871
-0.102 -2.897 0.773
-12.951 0.939 1.812
ATOMIC_POSITIONS angstrom
W -6.475 0.470 0.906
W -11.235 -0.863 1.105
W -2.162 -0.295 -1.391
C -12.254 0.889 1.715
C -0.697 0.051 0.098
C -9.296 -1.004 0.834
C -4.100 -0.155 -1.119
C -7.996 -1.098 0.652
C -5.401 -0.060 -0.937
```

The value obtained for the formation enthalpy at 0 K is 2.381 eV/f.u. The total energy comes out at -29.02 eV per formula unit. Its calculated density is 10.1 g/cm3. The calculation puts the volume at 11.36 Å³/atom.

[7]
Below is RbSrAg after structural relaxation, with properties calculated at the PBE level. Values from VASP.

The structure in Quantum ESPRESSO input format:
```
&SYSTEM
  ibrav = 0, nat = 3, ntyp = 3
/
ATOMIC_SPECIES
Sr 87.62 Sr.upf
Rb 85.47 Rb.upf
Ag 107.87 Ag.upf
CELL_PARAMETERS angstrom
4.148 0.000 0.000
0.000 4.148 0.000
-2.074 -2.074 7.962
ATOMIC_POSITIONS angstrom
Sr 0.000 0.000 4.556
Rb 0.000 0.000 0.434
Ag 2.074 2.074 2.972
```

The value obtained for the formation enthalpy at 0 K is -0.070 eV/f.u. The total energy comes out at -5.57 eV per formula unit. Its calculated density is 3.4 g/cm3. The calculation puts the volume at 45.66 Å³/atom.

[8]
Below is Be4NiPd3 after structural relaxation, with properties calculated at the PBE level. Values from VASP.

The structure in Quantum ESPRESSO input format:
```
&SYSTEM
  ibrav = 0, nat = 8, ntyp = 3
/
ATOMIC_SPECIES
Be 9.01 Be.upf
Pd 106.42 Pd.upf
Ni 58.69 Ni.upf
CELL_PARAMETERS angstrom
2.778 0.000 0.000
0.000 2.778 0.000
0.000 0.000 11.164
ATOMIC_POSITIONS angstrom
Be 0.000 0.000 9.972
Be 0.000 0.000 1.192
Be 0.000 0.000 4.128
Be 0.000 0.000 7.036
Pd 1.389 1.389 2.695
Pd 1.389 1.389 5.582
Pd 1.389 1.389 8.468
Ni 1.389 1.389 0.000
```

The value obtained for the formation enthalpy at 0 K is -4.403 eV/f.u. The total energy comes out at -40.67 eV per formula unit. Its calculated density is 8.0 g/cm3. The calculation puts the volume at 10.77 Å³/atom.

[9]
Below is PaBeTlO6 after structural relaxation, with properties calculated at the PBE level. Values from VASP.

The structure in Quantum ESPRESSO input format:
```
&SYSTEM
  ibrav = 0, nat = 9, ntyp = 4
/
ATOMIC_SPECIES
Pa 231.04 Pa.upf
Be 9.01 Be.upf
Tl 204.38 Tl.upf
O 16.00 O.upf
CELL_PARAMETERS angstrom
4.766 0.000 0.000
0.000 5.223 0.000
0.000 -2.611 4.523
ATOMIC_POSITIONS angstrom
Pa 0.000 0.000 3.015
Be 2.383 0.000 0.000
Tl 2.383 2.611 1.508
O 3.478 1.760 3.261
O 3.478 -1.093 4.417
O 3.478 -0.667 1.368
O 1.288 0.667 1.368
O 1.288 1.093 4.417
O 1.288 -1.760 3.261
```

The total energy comes out at -60.89 eV per formula unit. Its calculated density is 8.0 g/cm3. The calculation puts the volume at 12.51 Å³/atom. The calculation puts the uncorrected formation energy at -1.728 eV per atom.

[10]
Below is TlCu3Ni after structural relaxation, with properties calculated at the PBE level. Values from VASP.

The structure in Quantum ESPRESSO input format:
```
&SYSTEM
  ibrav = 0, nat = 5, ntyp = 3
/
ATOMIC_SPECIES
Ni 58.69 Ni.upf
Tl 204.38 Tl.upf
Cu 63.55 Cu.upf
CELL_PARAMETERS angstrom
-0.871 4.722 -0.370
-3.333 -0.878 -3.363
-3.365 -0.352 3.427
ATOMIC_POSITIONS angstrom
Ni -3.784 1.746 -0.153
Tl 0.000 0.000 0.000
Cu -1.666 -0.439 -1.682
Cu -1.683 -0.176 1.713
Cu -0.435 2.361 -0.185
```

The value obtained for the formation enthalpy at 0 K is 6.973 eV/f.u. The total energy comes out at -13.46 eV per formula unit. Its calculated density is 6.7 g/cm3. The calculation puts the volume at 22.34 Å³/atom.

Record order is preserved below.
Total moment: 0.0; 0.0; 0.0; 0.0; 0.0; 0.0; 0.0; 0.0; 2.0; 0.1 μB/cell